Record 1
Entry from Alexandria: an optimized crystal structure of Pm3Tm8Sc (GGA-PBE).

The structure belongs to space group Immm (No. 71); the cell edges are 6.4034, 11.0154 and 11.2664 Å and the angles 90.00°, 90.00° and 90.00°. Symmetry generates all atoms from Pm at (0.0000, 0.0000, 0.0000), Pm at (0.0000, 0.5000, 0.2425), Tm at (0.0000, 0.1653, 0.2519), Tm at (0.2447, 0.2653, 0.0000) and Sc at (0.0000, 0.0000, 0.5000).

The value obtained for the formation energy is 0.294 eV per atom. The value obtained for the total energy is -4.40 eV per atom. As for the total magnetization: 0.00 μB/f.u. For the density of states at the Fermi level, the calculation gives 1.56 states/eV/atom.

---

Record 2
Entry from Alexandria: an optimized crystal structure of Tm4ZnSn2 (GGA-PBE).

The structure belongs to space group P2_1/m (No. 11); the cell edges are 5.8447, 6.4480 and 10.0395 Å and the angles 90.00°, 104.39° and 90.00°. Symmetry generates all atoms from Tm at (0.1889, 0.2500, 0.1325), Tm at (0.2636, 0.0049, 0.7334), Tm at (0.3007, 0.7500, 0.4346), Zn at (0.0710, 0.7500, 0.1569), Sn at (0.1675, 0.2500, 0.4447) and Sn at (0.3872, 0.7500, 0.0116).

The value obtained for the formation energy is -0.408 eV per atom. The value obtained for the total energy is -4.29 eV per atom. As for the total magnetization: 0.00 μB/f.u. For the density of states at the Fermi level, the calculation gives 0.78 states/eV/atom.

---

Record 3
Entry from Alexandria: an optimized crystal structure of Sm2Er2Te2Se3 (GGA-PBE).

The structure belongs to space group I4/mmm (No. 139); the cell edges are 5.5709, 5.5709 and 15.8839 Å and the angles 90.00°, 90.00° and 90.00°. Symmetry generates all atoms from Sm at (0.0000, 0.0000, 0.1937), Er at (0.0000, 0.5000, 0.0000), Te at (0.0000, 0.0000, 0.3945), Se at (0.0000, 0.0000, 0.0000) and Se at (0.0000, 0.5000, 0.2500).

The raw formation energy is -134.8 kJ per mole of atoms. The value obtained for the total energy is -5.32 eV per atom. As for the total magnetization: 0.00 μB/f.u. For the density of states at the Fermi level, the calculation gives 0.51 states/eV/atom.

---

Record 4
Entry from Alexandria: an optimized crystal structure of AcHoHgSb (GGA-PBE).

The structure belongs to space group F-43m (No. 216); the cell edges are 7.8275, 7.8275 and 7.8275 Å and the angles 90.00°, 90.00° and 90.00°. Symmetry generates all atoms from Ac at (0.0000, 0.0000, 0.0000), Ho at (0.0000, 0.0000, 0.5000), Hg at (0.2500, 0.2500, 0.7500) and Sb at (0.2500, 0.2500, 0.2500).

The raw formation energy is -56.3 kJ per mole of atoms. The value obtained for the total energy is -3.86 eV per atom. As for the total magnetization: 0.00 μB/f.u. For the density of states at the Fermi level, the calculation gives 1.09 states/eV/atom.

---

Record 5
Entry from Alexandria: an optimized crystal structure of SrCdSe4 (GGA-PBE).

The structure belongs to space group F-43m (No. 216); the cell edges are 8.4278, 8.4278 and 8.4278 Å and the angles 90.00°, 90.00° and 90.00°. Symmetry generates all atoms from Sr at (0.0000, 0.0000, 0.0000), Cd at (0.2500, 0.2500, 0.7500) and Se at (0.1238, 0.1238, 0.3762).

The raw formation energy is -25.6 kJ per mole of atoms. The value obtained for the total energy is -3.02 eV per atom. As for the total magnetization: 0.00 μB/f.u. For the density of states at the Fermi level, the calculation gives 0.45 states/eV/atom.

---

Record 6
Entry from Alexandria: an optimized crystal structure of CoW3 (GGA-PBE).

The structure belongs to space group C2/m (No. 12); the cell edges are 9.2378, 2.7123 and 4.8704 Å and the angles 90.00°, 100.91° and 90.00°. Symmetry generates all atoms from Co at (0.0000, 0.0000, 0.0000), W at (0.0000, 0.5000, 0.5000) and W at (0.2330, 0.5000, 0.2357).

The value obtained for the formation energy is 0.284 eV per atom. The energy above the most stable polymorph in this dataset is 200 meV per atom. The value obtained for the total energy is -11.21 eV per atom. As for the total magnetization: 0.00 μB/f.u. For the density of states at the Fermi level, the calculation gives 0.86 states/eV/atom.